The following is a DFT calculation (PBE with a Hubbard U) of a geometry-optimized FeAuF2 structure. Values from VASP.

Results
**Energy relative to the lowest polymorph listed for this composition**: 179 meV/atom
**SG**: I-42d, No. 122

```
&SYSTEM
  ibrav = 0, nat = 8, ntyp = 3
/
ATOMIC_SPECIES
F 19.00 F.upf
Fe 55.84 Fe.upf
Au 196.97 Au.upf
CELL_PARAMETERS angstrom
6.6643 0.0000 0.0000
0.0000 6.6643 0.0000
3.3322 3.3322 3.0597
ATOMIC_POSITIONS crystal
F 0.8750 0.7441 0.7500
F 0.2559 0.6250 0.2500
F 0.4941 0.1250 0.2500
F 0.3750 0.5059 0.7500
Fe 0.5000 0.5000 0.0000
Fe 0.2500 0.7500 0.5000
Au 0.0000 0.0000 0.0000
Au 0.7500 0.2500 0.5000
```